The following is a GGA-PBE calculation of LiPdSe3 after structural relaxation, from Alexandria.

The structure in extended XYZ format:
```
5
Lattice="5.003 0.000 0.000 0.000 5.003 0.000 0.000 0.000 5.003" Properties=species:S:1:pos:R:3 pbc="T T T"
Se 0.000 2.502 0.000
Se 0.000 0.000 2.502
Se 2.502 0.000 0.000
Pd 0.000 0.000 0.000
Li 2.502 2.502 2.502
```

Summary:
total magnetic moment: 0.00 μB per formula unit
relative energy among the computed polymorphs: 0.261 eV/atom
theoretical density: 4.64 g/cm³



The following is a GGA-PBE calculation of LiPdSe after structural relaxation, from Alexandria.

The structure in extended XYZ format:
```
3
Lattice="-4.118 0.654 -0.614 -1.928 -1.699 -3.341 -2.738 -3.161 0.528" Properties=species:S:1:pos:R:3 pbc="T T T"
Se 0.000 0.000 0.000
Pd -2.196 -1.051 -0.857
Li -4.392 -2.103 -1.713
```

Summary:
total magnetic moment: 0.00 μB per formula unit
relative energy among the computed polymorphs: 0.061 eV/atom
theoretical density: 6.03 g/cm³



The following is a GGA-PBE calculation of LiPd4Se after structural relaxation, from Alexandria.

The structure in extended XYZ format:
```
12
Lattice="-3.480 -4.442 3.310 3.441 -2.753 -4.835 4.178 2.859 4.143" Properties=species:S:1:pos:R:3 pbc="T T T"
Li -0.010 -1.897 -0.402
Li 3.809 -0.046 -0.367
Pd 5.370 -1.665 -0.857
Pd 1.752 -2.619 3.207
Pd 0.125 -3.865 0.786
Pd 0.129 -0.342 1.371
Pd 4.015 -0.354 1.857
Pd 0.569 -1.338 6.062
Pd -1.073 -2.658 3.463
Pd 2.230 -1.709 -0.572
Se -0.029 -5.319 -1.127
Se 3.791 -3.467 -1.092
```

Summary:
total magnetic moment: 0.00 μB per formula unit
theoretical density: 7.89 g/cm³



The following is a GGA-PBE calculation of Li2PdSe after structural relaxation, from Alexandria.

The structure in extended XYZ format:
```
4
Lattice="3.798 0.000 0.000 0.000 3.937 0.000 0.000 0.000 3.937" Properties=species:S:1:pos:R:3 pbc="T T T"
Se 1.899 0.000 0.000
Pd 1.899 1.968 1.968
Li 0.000 0.000 1.968
Li 0.000 1.968 0.000
```

Summary:
total magnetic moment: 0.00 μB per formula unit
theoretical density: 5.62 g/cm³



The following is a GGA-PBE calculation of LiPdSe after structural relaxation, from Alexandria.

The structure in extended XYZ format:
```
6
Lattice="4.618 0.000 0.000 0.000 4.618 0.000 -2.309 -2.309 6.773" Properties=species:S:1:pos:R:3 pbc="T T T"
Se 2.309 2.309 3.415
Se 0.000 2.309 0.029
Pd 0.000 2.309 2.527
Pd 2.309 2.309 5.913
Li 2.309 2.309 0.831
Li 2.309 0.000 4.218
```

Summary:
total magnetic moment: 0.00 μB per formula unit
relative energy among the computed polymorphs: 0.180 eV/atom
theoretical density: 4.42 g/cm³



The following is a GGA-PBE calculation of Li2Pd3Se2 after structural relaxation, from Alexandria.

The structure in extended XYZ format:
```
7
Lattice="-2.860 -2.196 1.989 2.398 -2.541 -3.621 3.893 -0.370 5.189" Properties=species:S:1:pos:R:3 pbc="T T T"
Li 0.278 -3.967 0.283
Li 3.153 -1.141 3.274
Pd -1.430 -1.098 0.995
Pd 0.550 -2.258 2.562
Pd 2.880 -2.849 0.996
Se 2.336 -3.862 3.359
Se 1.094 -1.245 0.199
```

Summary:
total magnetic moment: 0.00 μB per formula unit
theoretical density: 6.93 g/cm³



The following is a GGA-PBE calculation of Li2PdSe after structural relaxation, from Alexandria.

The structure in extended XYZ format:
```
8
Lattice="-2.444 1.496 2.758 -3.071 -0.419 -2.494 -4.133 -7.246 3.135" Properties=species:S:1:pos:R:3 pbc="T T T"
Se -2.757 0.538 0.132
Se -4.981 -3.563 0.387
Pd 0.000 0.000 0.000
Pd -4.668 -2.606 3.013
Li -2.906 -0.952 2.153
Li -3.296 -1.863 -0.387
Li -5.216 -5.037 2.411
Li -7.877 -4.485 2.622
```

Summary:
total magnetic moment: 0.00 μB per formula unit
theoretical density: 4.95 g/cm³



The following is a GGA-PBE calculation of LiPdSe3 after structural relaxation, from Alexandria.

The structure in extended XYZ format:
```
5
Lattice="5.007 0.509 1.359 1.166 4.896 1.359 0.581 0.509 5.155" Properties=species:S:1:pos:R:3 pbc="T T T"
Li 5.675 4.968 6.616
Pd 1.319 1.155 1.538
Se 3.822 1.421 2.231
Se 1.914 3.601 2.231
Se 1.623 1.421 4.117
```

Summary:
total magnetic moment: 0.00 μB per formula unit
relative energy among the computed polymorphs: 0.000 eV/atom
theoretical density: 4.96 g/cm³



The following is a GGA-PBE calculation of Li2PdSe2 after structural relaxation, from Alexandria.

The structure in extended XYZ format:
```
10
Lattice="-6.226 -2.124 1.739 -1.046 -2.148 -6.371 1.461 -3.510 0.944" Properties=species:S:1:pos:R:3 pbc="T T T"
Se -2.958 -2.505 -4.736
Se -5.894 -3.203 -2.787
Se -4.315 -1.768 0.104
Se -1.379 -1.070 -1.846
Pd 0.000 0.000 0.000
Pd -3.636 -2.136 -2.316
Li -0.875 -3.466 -3.404
Li -4.200 -4.962 -3.822
Li -4.936 -4.318 -0.285
Li -1.611 -2.821 0.134
```

Summary:
total magnetic moment: 0.00 μB per formula unit
theoretical density: 5.09 g/cm³



The following is a GGA-PBE calculation of LiPd3Se after structural relaxation, from Alexandria.

The structure in extended XYZ format:
```
5
Lattice="4.711 0.000 0.000 0.000 4.711 0.000 0.000 0.000 4.711" Properties=species:S:1:pos:R:3 pbc="T T T"
Se 0.000 0.000 0.000
Pd 0.000 2.356 0.000
Pd 0.000 0.000 2.356
Pd 2.356 0.000 0.000
Li 2.356 2.356 2.356
```

Summary:
total magnetic moment: 0.00 μB per formula unit
relative energy among the computed polymorphs: 0.230 eV/atom
theoretical density: 6.43 g/cm³



The following is a GGA-PBE calculation of LiTaPdSe2 after structural relaxation, from Alexandria.

The structure in extended XYZ format:
```
5
Lattice="4.589 0.000 0.000 0.000 4.079 0.000 0.000 0.000 4.589" Properties=species:S:1:pos:R:3 pbc="T T T"
Li 0.000 0.000 0.000
Se 0.000 0.000 2.294
Se 2.294 0.000 0.000
Pd 0.000 2.039 0.000
Ta 2.294 2.039 2.294
```

Summary:
total magnetic moment: 0.00 μB per formula unit
theoretical density: 8.74 g/cm³



The following is a GGA-PBE calculation of Li4Th3PdSe8 after structural relaxation, from Alexandria.

The structure in extended XYZ format:
```
16
Lattice="8.155 0.000 0.000 0.000 8.054 -0.168 -4.077 -4.137 5.912" Properties=species:S:1:pos:R:3 pbc="T T T"
Li 4.077 0.000 0.000
Li 2.039 -2.068 2.956
Li 0.000 0.000 0.000
Li -2.039 -2.068 2.956
Th 4.077 4.027 -0.084
Th 2.039 1.958 2.872
Th -2.039 1.958 2.872
Pd 0.000 4.027 -0.084
Se -2.084 1.906 5.781
Se 0.000 4.017 2.947
Se 0.000 -0.184 2.862
Se 2.084 1.906 5.781
Se 1.993 2.011 -0.036
Se 4.077 4.101 2.882
Se 4.077 -0.101 2.797
Se 6.162 2.011 -0.036
```

Summary:
total magnetic moment: 0.00 μB per formula unit
theoretical density: 6.34 g/cm³



| no. | calculated volume (Å³/atom) | raw formation energy (kJ/mol of atoms) |
| --- | --- | --- |
| 1 | 25.0 | 3 |
| 2 | 17.6 | -57 |
| 3 | 17.9 | 13 |
| 4 | 14.7 | -69 |
| 5 | 24.1 | -46 |
| 6 | 16.8 | -49 |
| 7 | 16.7 | -48 |
| 8 | 23.4 | -22 |
| 9 | 18.1 | -71 |
| 10 | 20.9 | -9 |
| 11 | 17.2 | 40 |
| 12 | 23.9 | -128 |